## La3DyC (PBE)

Data for La3DyC after structural relaxation.

space-group type = No. 221
calculated formation energy = 0.09 eV/atom
DOS at the Fermi energy = 1.763 states/eV per atom
crystal system = cubic

a = 5.3234 Å, b = 5.3234 Å, c = 5.3234 Å
α = 90.00°, β = 90.00°, γ = 90.00°
Sites, in units of the cell vectors:
La (0.0000, 0.5000, 0.0000)
La (0.0000, 0.0000, 0.5000)
La (0.5000, 0.0000, 0.0000)
C (0.0000, 0.0000, 0.0000)
Dy (0.5000, 0.5000, 0.5000)